PaGaNiAg, optimized geometry, DFT PBE-GGA; ΔE_f = -0.090 eV per atom; space-group type = F-43m (216); DOS at the Fermi energy = 3.4 states/eV/cell; uncorrected energy = -21.51 eV per formula unit; calculated volume = 73.9 Å³/cell
1.0
0.000 3.331 3.331
3.331 0.000 3.331
3.331 3.331 0.000
Pa Ga Ni Ag
1 1 1 1
Direct
0.000 0.000 0.000 Pa
0.500 0.500 0.500 Ga
0.750 0.750 0.750 Ni
0.250 0.250 0.250 Ag